# Pm6AlHg5

An optimized crystal structure of Pm6AlHg5 (PBE, the Alexandria database).

extended XYZ file:
```
12
Lattice="5.347 0.000 0.000 0.000 7.661 0.000 -2.657 0.000 8.029" Properties=species:S:1:pos:R:3 pbc="T T T"
Pm 0.000 1.881 0.000
Pm 0.000 5.780 0.000
Pm 0.006 1.888 5.384
Pm 0.006 5.773 5.384
Pm 2.684 1.888 2.644
Pm 2.684 5.773 2.644
Al 2.673 0.000 0.000
Hg 0.015 0.000 2.656
Hg 0.010 3.830 2.680
Hg 2.673 3.830 0.000
Hg 2.680 3.830 5.349
Hg 2.675 0.000 5.372
```

Computed properties:
ΔH_f (0 K) (meV per atom): -447
VASP energy (eV for the cell shown): -39.12
V (Å³/cell): 328.9